[1]
The following is a PBE calculation of a relaxed Ge2HBr6 crystal, from Alexandria.

Summary:
- E (eV per atom) = -2.929
- symmetry = C2/c (15)
- volume (Å³/f.u.) = 357.2

extended XYZ file:
```
18
Lattice="-2.622 -9.123 -2.008 1.894 -4.270 7.472 -8.247 -0.390 3.082" Properties=species:S:1:pos:R:3 pbc="T T T"
Br -5.850 -2.263 2.728
Br -6.037 -11.189 8.176
Br -1.574 -8.180 0.525
Br -7.516 -4.778 4.354
Br -3.125 -11.521 5.819
Br -4.267 -3.541 6.626
Br -1.458 -9.006 4.193
Br -3.462 -5.656 2.896
Br -4.707 -10.243 1.920
Br -7.401 -5.603 8.022
Br -5.513 -8.128 5.650
Br -2.938 -2.595 0.371
Ge -5.880 -5.579 6.209
Ge -3.369 -3.037 2.656
Ge -5.606 -10.747 5.891
Ge -3.095 -8.205 2.338
H -6.581 -3.559 3.585
H -2.394 -10.225 4.962
```



[2]
The following is a PBE calculation of a relaxed Y2Au crystal, from Alexandria.

Summary:
- symmetry = Cmcm (63)
- ΔE_f (eV/atom) = -0.56
- volume (Å³/f.u.) = 79.4

extended XYZ file:
```
6
Lattice="3.646 0.000 0.000 1.823 8.298 0.000 0.000 0.000 5.250" Properties=species:S:1:pos:R:3 pbc="T T T"
Y 3.646 4.642 3.938
Y 1.823 3.657 1.313
Y 3.646 7.025 1.313
Y 1.823 1.273 3.938
Au 3.646 1.281 1.313
Au 1.823 7.017 3.938
```



[3]
The following is a PBE calculation of a relaxed CuSiC3 crystal, from Alexandria.

Summary:
- symmetry = P1 (1)
- volume (Å³/f.u.) = 62.2
- distance to the lowest polymorph of the same formula (kJ per mole of atoms) = 6.5
- E_form (uncorrected) (eV/atom) = 0.542

extended XYZ file:
```
5
Lattice="2.503 0.000 0.003 -0.002 4.954 0.013 -0.036 -0.352 5.015" Properties=species:S:1:pos:R:3 pbc="T T T"
Si 2.047 0.209 3.264
C 0.795 4.103 4.341
C 0.795 2.678 4.024
C 2.047 1.989 3.874
Cu 0.790 -0.024 1.229
```